## AgRhSeN2 (GGA-PBEsol)

Data for a geometry-optimized AgRhSeN2 structure.

Cell lengths 3.855, 3.855, 5.375 Å; angles 90.00, 90.00, 90.00 degrees
Fractional positions:
N 0.500 0.000 0.000
N 0.000 0.500 0.000
Se 0.000 0.000 0.500
Rh 0.500 0.500 0.500
Ag 0.000 0.000 0.000



## Ag2SN (GGA-PBEsol)

Data for a geometry-optimized Ag2SN structure.

Cell lengths 4.741, 4.741, 6.919 Å; angles 110.03, 110.03, 90.00 degrees
Fractional positions:
Ag 0.125 0.211 0.750
Ag 0.789 0.375 0.250
Ag 0.625 0.539 0.750
Ag 0.461 0.875 0.250
N 0.500 0.500 0.000
N 0.750 0.250 0.500
S 0.000 0.000 0.000
S 0.250 0.750 0.500



Looking at electronic total energy for the records above, in order, we have -4.47; -4.02 eV per atom.
Looking at raw formation energy for the records above, in order, we have 2.000; 0.863 eV per atom.